The following is a DFT calculation (PBE) of a relaxed structure of RbSc2Pt2.

- Size of the total moment: 0.00 μB/cell
- Calculated volume: 21.6 A^3/atom
- Space-group type: P4/mbm (127)
- E_form: -0.60 eV per atom
- Total energy: -57.43 eV per cell
- DOS at the Fermi energy: 2.8 states/eV/f.u.

a b c (Å): 8.391 8.391 3.068
angles (deg): 90.00 90.00 90.00
Sites, in units of the cell vectors:
1 Pt 0.354 0.146 0.500
2 Pt 0.146 0.646 0.500
3 Pt 0.854 0.354 0.500
4 Pt 0.646 0.854 0.500
5 Sc 0.636 0.136 0.000
6 Sc 0.364 0.864 0.000
7 Sc 0.136 0.364 0.000
8 Sc 0.864 0.636 0.000
9 Rb 0.500 0.500 0.000
10 Rb 0.000 0.000 0.000

The following is a DFT calculation (PBE) of a relaxed structure of RbSc2Pt2.

- Size of the total moment: 0.00 μB/cell
- Calculated volume: 24.5 A^3/atom
- Space-group type: I4/mmm (139)
- E_form: -0.67 eV per atom
- Total energy: -29.04 eV per cell
- DOS at the Fermi energy: 4.2 states/eV/f.u.

a b c (Å): 4.619 4.619 6.611
angles (deg): 69.55 69.55 90.00
Sites, in units of the cell vectors:
1 Sc 0.750 0.250 0.500
2 Sc 0.250 0.750 0.500
3 Pt 0.623 0.623 0.754
4 Pt 0.377 0.377 0.246
5 Rb 0.000 0.000 0.000

The following is a DFT calculation (PBE) of a relaxed structure of RbPtSe2.

- Size of the total moment: 0.00 μB/cell
- Calculated volume: 26.5 A^3/atom
- Space-group type: R3m (160)
- Total energy: -16.07 eV per cell
- DOS at the Fermi energy: 3.7 states/eV/f.u.

a b c (Å): 4.026 4.026 7.891
angles (deg): 75.22 75.22 60.00
Sites, in units of the cell vectors:
1 Rb 0.499 0.499 0.503
2 Se 0.280 0.280 0.159
3 Se 0.053 0.053 0.841
4 Pt 0.668 0.668 0.997

The following is a DFT calculation (PBE) of a relaxed structure of Rb3Pt2Se4.

- Size of the total moment: 0.00 μB/cell
- Calculated volume: 35.4 A^3/atom
- Space-group type: Imma (74)
- Total energy: -68.36 eV per cell
- DOS at the Fermi energy: 5.2 states/eV/f.u.

a b c (Å): 6.902 10.213 10.942
angles (deg): 117.82 108.38 90.00
Sites, in units of the cell vectors:
1 Se 0.600 0.496 0.199
2 Se 0.647 0.147 0.793
3 Se 0.900 0.797 0.801
4 Se 0.400 0.504 0.801
5 Se 0.853 0.853 0.207
6 Se 0.353 0.853 0.207
7 Se 0.147 0.147 0.793
8 Se 0.100 0.203 0.199
9 Pt 0.963 0.080 0.927
10 Pt 0.537 0.653 0.073
11 Pt 0.463 0.347 0.927
12 Pt 0.037 0.920 0.073
13 Rb 0.594 0.153 0.188
14 Rb 0.906 0.465 0.812
15 Rb 0.094 0.535 0.188
16 Rb 0.250 0.140 0.500
17 Rb 0.406 0.847 0.812
18 Rb 0.750 0.860 0.500

The following is a DFT calculation (PBE) of a relaxed structure of RbPtSe2.

- Size of the total moment: 0.00 μB/cell
- Calculated volume: 29.0 A^3/atom
- Space-group type: I-42d (122)
- Total energy: -32.19 eV per cell
- DOS at the Fermi energy: 4.0 states/eV/f.u.

a b c (Å): 7.906 7.906 6.713
angles (deg): 53.92 53.92 90.00
Sites, in units of the cell vectors:
1 Se 0.875 0.984 0.750
2 Se 0.375 0.266 0.750
3 Se 0.016 0.625 0.250
4 Se 0.734 0.125 0.250
5 Rb 0.250 0.750 0.500
6 Rb 0.500 0.500 0.000
7 Pt 0.000 0.000 0.000
8 Pt 0.750 0.250 0.500

The following is a DFT calculation (PBE) of a relaxed structure of Rb5PtSe8.

- Size of the total moment: 1.01 μB/cell
- Calculated volume: 41.1 A^3/atom
- Space-group type: I-4 (82)
- Total energy: -47.31 eV per cell
- DOS at the Fermi energy: 6.9 states/eV/f.u.

a b c (Å): 9.284 9.284 9.284
angles (deg): 101.72 101.72 126.42
Sites, in units of the cell vectors:
1 Rb 0.896 0.308 0.931
2 Rb 0.692 0.624 0.589
3 Rb 0.035 0.104 0.411
4 Rb 0.500 0.500 0.000
5 Rb 0.376 0.965 0.069
6 Se 0.406 0.098 0.629
7 Se 0.295 0.434 0.253
8 Se 0.566 0.819 0.861
9 Se 0.223 0.594 0.692
10 Se 0.958 0.705 0.139
11 Se 0.902 0.531 0.308
12 Se 0.469 0.777 0.371
13 Se 0.181 0.042 0.747
14 Pt 0.250 0.750 0.500

Question: The lowest total energy belongs to which entry?
Answer: Rb3Pt2Se4